The following is a DFT calculation (PBE-GGA) of a geometry-optimized La2Pr2Y4Tm structure.

As for the energy relative to the elements: 6 meV/atom.

The space group is C2/m (No. 12) and the conventional cell measures 18.996, 3.670 and 9.745 Å, with angles of 90.00, 115.69 and 90.00 degrees. The asymmetric unit holds La at (0.164, 0.000, 0.000), Pr at (0.147, 0.500, 0.664), Y at (0.020, 0.000, 0.331), Y at (0.185, 0.500, 0.336) and Tm at (0.000, 0.500, 0.000).